The following is a DFT calculation (PBE-GGA) of a relaxed TmCd2Ag crystal.

abc: 4.4253 4.4253 4.6325
angles: 90.00 90.00 90.00
Atoms (fractional coordinates):
Tm  0.0000  0.0000  0.0000
Cd  0.0000  0.5000  0.5000
Cd  0.5000  0.0000  0.5000
Ag  0.5000  0.5000  0.0000

## Properties
**E_form**: -184 meV per atom
**Density of states at the Fermi level**: 2.677 states/eV/f.u.
**Space group**: No. 123
**V**: 22.7 Å³/atom

The following is a DFT calculation (PBE-GGA) of a relaxed Sr2H2Se crystal.

abc: 4.3047 4.3047 7.0408
angles: 90.00 90.00 120.00
Atoms (fractional coordinates):
Sr  0.3333  0.6667  0.2618
Sr  0.6667  0.3333  0.7382
H  0.3333  0.6667  0.6174
H  0.6667  0.3333  0.3826
Se  0.0000  0.0000  0.0000

## Properties
**E above lowest polymorph**: 0.000 eV/atom
**Density of states at the Fermi level**: 0.000 states/eV/f.u.
**Space group**: No. 164
**V**: 22.6 Å³/atom

The following is a DFT calculation (PBE-GGA) of a relaxed Sm2PuThAs4 crystal.

abc: 7.2877 4.2169 7.2952
angles: 90.00 109.54 90.00
Atoms (fractional coordinates):
Sm  0.0000  0.0000  0.0000
Sm  0.5000  0.5000  0.0000
Pu  0.0000  0.5000  0.5000
Th  0.5000  0.0000  0.5000
As  0.2457  0.0000  0.7459
As  0.2483  0.5000  0.2508
As  0.7517  0.5000  0.7492
As  0.7543  0.0000  0.2541

## Properties
**E_form**: -1389 meV per atom
**Density of states at the Fermi level**: 14.271 states/eV/f.u.
**Space group**: No. 10
**V**: 26.4 Å³/atom

The following is a DFT calculation (PBE-GGA) of a relaxed Cs3ErO3 crystal.

abc: 7.5949 7.5949 7.7341
angles: 95.81 95.81 117.12
Atoms (fractional coordinates):
Cs  0.2157  0.7843  0.0000
Cs  0.2628  0.7372  0.5000
Cs  0.3558  0.3558  0.1495
Cs  0.6442  0.6442  0.8505
Cs  0.7372  0.2628  0.5000
Cs  0.7843  0.2157  0.0000
Er  0.1687  0.1687  0.6527
Er  0.8313  0.8313  0.3473
O  0.1079  0.1079  0.3661
O  0.1598  0.4288  0.7670
O  0.4288  0.1598  0.7670
O  0.5712  0.8402  0.2330
O  0.8402  0.5712  0.2330
O  0.8921  0.8921  0.6339

## Properties
**E above lowest polymorph**: 0.011 eV/atom
**Density of states at the Fermi level**: 0.000 states/eV/f.u.
**Space group**: No. 12
**V**: 27.8 Å³/atom